Record 1
Entry from the Alexandria database: an optimized crystal structure of Ho2ErTm2Sc (PBE-GGA).

Output
* crystal system: orthorhombic
* E_form: 283 meV per atom

a = 6.485 Å, b = 17.011 Å, c = 3.291 Å
α = 90.00°, β = 90.00°, γ = 90.00°
Space group Pnnm (No. 58)
Unique sites:
Ho (0.247, 0.149, 0.000) [4 per cell]
Er (0.000, 0.000, 0.500) [2 per cell]
Tm (0.249, 0.324, 0.500) [4 per cell]
Sc (0.000, 0.500, 0.500) [2 per cell]

Record 2
Entry from the Alexandria database: an optimized crystal structure of Ho3Er6Tm2Sc (PBE-GGA).

Output
* crystal system: monoclinic
* E_form: 31 meV per atom

a = 6.046 Å, b = 10.458 Å, c = 11.557 Å
α = 90.00°, β = 100.01°, γ = 90.00°
Space group C2/m (No. 12)
Unique sites:
Ho (0.000, 0.000, 0.000) [2 per cell]
Ho (0.000, 0.333, 0.000) [4 per cell]
Er (0.247, 0.334, 0.747) [8 per cell]
Er (0.250, 0.000, 0.747) [4 per cell]
Tm (0.000, 0.167, 0.500) [4 per cell]
Sc (0.000, 0.500, 0.500) [2 per cell]

Record 3
Entry from the Alexandria database: an optimized crystal structure of HoEr2Tm5Sc (PBE-GGA).

Output
* crystal system: orthorhombic
* E_form: 172 meV per atom

a = 5.460 Å, b = 19.581 Å, c = 10.244 Å
α = 90.00°, β = 90.00°, γ = 90.00°
Space group Cmc2_1 (No. 36)
Unique sites:
Ho (0.000, 0.090, 0.000) [4 per cell]
Er (0.000, 0.387, 0.281) [4 per cell]
Er (0.000, 0.389, 0.858) [4 per cell]
Tm (0.000, 0.019, 0.284) [4 per cell]
Tm (0.000, 0.121, 0.566) [4 per cell]
Tm (0.000, 0.200, 0.250) [4 per cell]
Tm (0.000, 0.224, 0.863) [4 per cell]
Tm (0.000, 0.482, 0.564) [4 per cell]
Sc (0.000, 0.304, 0.559) [4 per cell]

no.,V (Å³/atom)
1,30.25
2,29.98
3,30.42